Entry 1
Compound: Sc2TcNi
Source: Alexandria
Functional: SCAN
Structure: single point on PBEsol structure

Structure (POSCAR):
```
Sc2TcNi
1.0
0.0000 3.1515 3.1515
3.1515 0.0000 3.1515
3.1515 3.1515 0.0000
Sc Tc Ni
2 1 1
direct
0.2500 0.2500 0.2500
0.7500 0.7500 0.7500
0.0000 0.0000 0.0000
0.5000 0.5000 0.5000
```

Space group: No. 225
DOS(E_F), states/eV per cell: 2.34
Magnetization, μB per atom: 0.000

Entry 2
Compound: Sc2TcNi
Source: Alexandria
Functional: SCAN
Structure: single point on PBEsol structure

Structure (POSCAR):
```
Sc2TcNi
1.0
3.1895 0.0000 0.0000
0.0000 3.1895 0.0000
0.0000 0.0000 6.2097
Sc Tc Ni
2 1 1
direct
0.0000 0.0000 0.2490
0.0000 0.0000 0.7510
0.5000 0.5000 0.5000
0.5000 0.5000 0.0000
```

Space group: No. 123
DOS(E_F), states/eV per cell: 3.94
Magnetization, μB per atom: 0.000

Entry 3
Compound: Sc2TcNi
Source: Alexandria
Functional: SCAN
Structure: single point on PBEsol structure

Structure (POSCAR):
```
Sc2TcNi
1.0
-1.6171 2.1468 4.6116
1.6171 -2.1468 4.6116
1.6171 2.1468 -4.6116
Sc Tc Ni
2 1 1
direct
0.0000 0.0000 0.0000
0.7247 0.2247 0.5000
0.2567 0.7567 0.5000
0.4764 0.4764 0.0000
```

Space group: No. 44
DOS(E_F), states/eV per cell: 3.49
Magnetization, μB per atom: 0.000

Stability, highest: entry 1

Entry 1
Compound: ScNiTe2
Source: Alexandria
Functional: SCAN
Structure: single point on PBEsol structure

Structure (POSCAR):
```
ScNiTe2
1.0
4.7159 0.0000 0.0000
0.0000 4.7159 0.0000
0.0000 0.0000 3.5296
Sc Ni Te
1 1 2
direct
0.0000 0.0000 0.0000
0.5000 0.5000 0.0000
0.0000 0.5000 0.5000
0.5000 0.0000 0.5000
```

Space group: No. 123
DOS(E_F), states/eV per cell: 2.07
Magnetization, μB per atom: 0.000

Entry 2
Compound: ScNiTe2
Source: Alexandria
Functional: SCAN
Structure: single point on PBEsol structure

Structure (POSCAR):
```
ScNiTe2
1.0
2.0160 1.1640 6.7754
-2.0160 1.1640 6.7754
0.0000 -2.3279 6.7754
Sc Ni Te
1 1 2
direct
0.0000 0.0000 0.0000
0.7391 0.7391 0.7391
0.2508 0.2508 0.2508
0.4394 0.4394 0.4394
```

Space group: No. 160
DOS(E_F), states/eV per cell: 1.95
Magnetization, μB per atom: 0.000

Entry 3
Compound: ScNiTe2
Source: Alexandria
Functional: SCAN
Structure: single point on PBEsol structure

Structure (POSCAR):
```
ScNiTe2
1.0
3.7548 0.0000 0.0000
0.0000 3.7548 0.0000
0.0000 0.0000 6.1159
Sc Ni Te
1 1 2
direct
0.0000 0.0000 0.0000
0.5000 0.5000 0.7085
0.0000 0.0000 0.5588
0.5000 0.5000 0.1344
```

Space group: No. 99
DOS(E_F), states/eV per cell: 2.67
Magnetization, μB per atom: 0.001

Stability, highest: entry 2

Entry 1
Compound: Y2ScNi
Source: Alexandria
Functional: SCAN
Structure: single point on PBEsol structure

Structure (POSCAR):
```
Y2ScNi
1.0
0.0000 3.5442 3.5442
3.5442 0.0000 3.5442
3.5442 3.5442 0.0000
Y Sc Ni
2 1 1
direct
0.2500 0.2500 0.2500
0.7500 0.7500 0.7500
0.0000 0.0000 0.0000
0.5000 0.5000 0.5000
```

Space group: No. 225
DOS(E_F), states/eV per cell: 2.71
Magnetization, μB per atom: 0.310

Entry 2
Compound: Y2ScNi
Source: Alexandria
Functional: SCAN
Structure: single point on PBEsol structure

Structure (POSCAR):
```
Y2ScNi
1.0
3.3136 0.0000 0.0000
0.0000 3.3136 0.0000
0.0000 0.0000 8.3083
Y Sc Ni
2 1 1
direct
0.0000 0.0000 0.0000
0.5000 0.5000 0.3294
0.5000 0.5000 0.6987
0.0000 0.0000 0.5385
```

Space group: No. 99
DOS(E_F), states/eV per cell: 4.92
Magnetization, μB per atom: 0.000

Entry 3
Compound: Y2ScNi
Source: Alexandria
Functional: SCAN
Structure: single point on PBEsol structure

Structure (POSCAR):
```
Y2ScNi
1.0
0.0000 3.5161 3.5161
3.5161 0.0000 3.5161
3.5161 3.5161 0.0000
Y Sc Ni
2 1 1
direct
0.0000 0.0000 0.0000
0.2500 0.2500 0.2500
0.7500 0.7500 0.7500
0.5000 0.5000 0.5000
```

Space group: No. 216
DOS(E_F), states/eV per cell: 4.44
Magnetization, μB per atom: 0.319

Stability, highest: entry 2

Entry 1
Compound: Ni3Se
Source: Alexandria
Functional: SCAN
Structure: single point on PBEsol structure

Structure (POSCAR):
```
Ni3Se
1.0
-1.5957 3.8383 1.8964
1.5957 -3.8383 1.8964
1.5957 3.8383 -1.8964
Ni Se
3 1
direct
0.0000 0.0000 0.0000
0.2714 0.4984 0.7730
0.7254 0.4984 0.2270
0.5040 0.0040 0.5000
```

Space group: No. 44
DOS(E_F), states/eV per cell: 2.92
Magnetization, μB per atom: 0.165

Entry 2
Compound: Ni3Se
Source: Alexandria
Functional: SCAN
Structure: single point on PBEsol structure

Structure (POSCAR):
```
Ni3Se
1.0
3.0782 0.0000 0.0000
0.0000 3.0982 0.0000
0.0000 0.0000 4.9318
Ni Se
3 1
direct
0.0000 0.0000 0.0000
0.5000 0.5000 0.2442
0.5000 0.5000 0.7558
0.0000 0.0000 0.5000
```

Space group: No. 47
DOS(E_F), states/eV per cell: 4.09
Magnetization, μB per atom: 0.000

Entry 3
Compound: Ni3Se
Source: Alexandria
Functional: SCAN
Structure: single point on PBEsol structure

Structure (POSCAR):
```
Ni3Se
1.0
0.0000 2.8493 2.8493
2.8493 0.0000 2.8493
2.8493 2.8493 0.0000
Ni Se
3 1
direct
0.0000 0.0000 0.0000
0.2500 0.2500 0.2500
0.7500 0.7500 0.7500
0.5000 0.5000 0.5000
```

Space group: No. 225
DOS(E_F), states/eV per cell: 3.54
Magnetization, μB per atom: 0.000

Stability, highest: entry 1

Entry 1
Compound: Ni2TeSe
Source: Alexandria
Functional: SCAN
Structure: single point on PBEsol structure

Structure (POSCAR):
```
Ni2TeSe
1.0
3.1316 0.0000 0.0000
0.0000 3.1316 0.0000
0.0000 0.0000 6.3268
Ni Te Se
2 1 1
direct
0.0000 0.0000 0.2197
0.0000 0.0000 0.7803
0.5000 0.5000 0.5000
0.5000 0.5000 0.0000
```

Space group: No. 123
DOS(E_F), states/eV per cell: 2.02
Magnetization, μB per atom: 0.000

Entry 2
Compound: Ni2TeSe
Source: Alexandria
Functional: SCAN
Structure: single point on PBEsol structure

Structure (POSCAR):
```
Ni2TeSe
1.0
0.0000 3.1935 3.1935
3.1935 0.0000 3.1935
3.1935 3.1935 0.0000
Ni Te Se
2 1 1
direct
0.0000 0.0000 0.0000
0.2500 0.2500 0.2500
0.7500 0.7500 0.7500
0.5000 0.5000 0.5000
```

Space group: No. 216
DOS(E_F), states/eV per cell: 4.51
Magnetization, μB per atom: 0.001

Stability, highest: entry 1

Entry 1
Compound: Si3Ni5
Source: Alexandria
Functional: SCAN
Structure: single point on PBEsol structure

Structure (POSCAR):
```
Si3Ni5
1.0
-4.3225 4.3225 2.3420
4.3225 -4.3225 2.3420
4.3225 4.3225 -2.3420
Si Ni
6 10
direct
0.1611 0.6611 0.8223
0.2500 0.2500 0.0000
0.3389 0.1611 0.5000
0.6611 0.8389 0.5000
0.7500 0.7500 0.0000
0.8389 0.3389 0.1777
0.0775 0.2159 0.2934
0.2159 0.9225 0.1384
0.2500 0.7500 0.5000
0.2841 0.4225 0.7066
0.4225 0.7159 0.1384
0.5775 0.2841 0.8616
0.7159 0.5775 0.2934
0.7500 0.2500 0.5000
0.7841 0.0775 0.8616
0.9225 0.7841 0.7066
```

Space group: No. 140
DOS(E_F), states/eV per cell: 2.77
Magnetization, μB per atom: 0.000

Entry 2
Compound: Si3Ni5
Source: Alexandria
Functional: SCAN
Structure: single point on PBEsol structure

Structure (POSCAR):
```
Si3Ni5
1.0
6.6194 0.0000 0.0000
-3.3097 5.7326 0.0000
0.0000 0.0000 4.6530
Si Ni
6 10
direct
0.0000 0.3890 0.2500
0.0000 0.6110 0.7500
0.3890 0.0000 0.2500
0.3890 0.3890 0.7500
0.6110 0.0000 0.7500
0.6110 0.6110 0.2500
0.0000 0.2574 0.7500
0.0000 0.7426 0.2500
0.2574 0.0000 0.7500
0.2574 0.2574 0.2500
0.3333 0.6667 0.0000
0.3333 0.6667 0.5000
0.6667 0.3333 0.0000
0.6667 0.3333 0.5000
0.7426 0.0000 0.2500
0.7426 0.7426 0.7500
```

Space group: No. 193
DOS(E_F), states/eV per cell: 5.57
Magnetization, μB per atom: 0.000

Entry 3
Compound: Si3Ni5
Source: Alexandria
Functional: SCAN
Structure: single point on PBEsol structure

Structure (POSCAR):
```
Si3Ni5
1.0
3.1472 -3.6796 0.0000
3.1472 3.6796 0.0000
0.0000 0.0000 3.6753
Si Ni
3 5
direct
0.0000 0.0000 0.0000
0.2922 0.7078 0.5000
0.7078 0.2922 0.5000
0.0000 0.5000 0.0000
0.2039 0.2039 0.5000
0.5000 0.0000 0.0000
0.5000 0.5000 0.0000
0.7961 0.7961 0.5000
```

Space group: No. 65
DOS(E_F), states/eV per cell: 3.10
Magnetization, μB per atom: 0.000

Stability, highest: entry 2

Entry 1
Compound: Tl2SiNi
Source: Alexandria
Functional: SCAN
Structure: single point on PBEsol structure

Structure (POSCAR):
```
Tl2SiNi
1.0
1.6833 0.9718 7.9471
-1.6833 0.9718 7.9471
0.0000 -1.9437 7.9471
Tl Si Ni
2 1 1
direct
0.2419 0.2419 0.2419
0.7581 0.7581 0.7581
0.0000 0.0000 0.0000
0.5000 0.5000 0.5000
```

Space group: No. 166
DOS(E_F), states/eV per cell: 1.84
Magnetization, μB per atom: 0.000

Entry 2
Compound: Tl2SiNi
Source: Alexandria
Functional: SCAN
Structure: single point on PBEsol structure

Structure (POSCAR):
```
Tl2SiNi
1.0
-1.5326 2.1735 6.1409
1.5326 -2.1735 6.1409
1.5326 2.1735 -6.1409
Tl Si Ni
2 1 1
direct
0.0000 0.0000 0.0000
0.6959 0.1959 0.5000
0.3726 0.3726 0.0000
0.2366 0.7366 0.5000
```

Space group: No. 44
DOS(E_F), states/eV per cell: 1.77
Magnetization, μB per atom: 0.000

Stability, highest: entry 2

Entry 1
Compound: SrTa2Ni
Source: Alexandria
Functional: SCAN
Structure: single point on PBEsol structure

Structure (POSCAR):
```
SrTa2Ni
1.0
-1.4296 2.4566 5.4598
1.4296 -2.4566 5.4598
1.4296 2.4566 -5.4598
Sr Ta Ni
1 2 1
direct
0.0000 0.0000 0.0000
0.2924 0.7924 0.5000
0.7076 0.2076 0.5000
0.5000 0.5000 0.0000
```

Space group: No. 71
DOS(E_F), states/eV per cell: 4.85
Magnetization, μB per atom: 0.001

Entry 2
Compound: SrTa2Ni
Source: Alexandria
Functional: SCAN
Structure: single point on PBEsol structure

Structure (POSCAR):
```
SrTa2Ni
1.0
2.9772 0.0000 0.0000
0.0000 5.0419 0.0000
-0.8639 0.0000 5.0892
Sr Ta Ni
1 2 1
direct
0.0000 0.0000 0.0000
0.2955 0.5000 0.7201
0.7045 0.5000 0.2799
0.5000 0.0000 0.5000
```

Space group: No. 10
DOS(E_F), states/eV per cell: 4.03
Magnetization, μB per atom: 0.000

Stability, highest: entry 1

Entry 1
Compound: SrTa2Ni
Source: Alexandria
Functional: SCAN
Structure: single point on PBEsol structure

Structure (POSCAR):
```
SrTa2Ni
1.0
1.4909 0.8608 9.8640
-1.4909 0.8608 9.8640
0.0000 -1.7215 9.8640
Sr Ta Ni
1 2 1
direct
0.0000 0.0000 0.0000
0.2334 0.2334 0.2334
0.7666 0.7666 0.7666
0.5000 0.5000 0.5000
```

Space group: No. 166
DOS(E_F), states/eV per cell: 3.57
Magnetization, μB per atom: 0.000

Entry 2
Compound: SrTa2Ni
Source: Alexandria
Functional: SCAN
Structure: single point on PBEsol structure

Structure (POSCAR):
```
SrTa2Ni
1.0
4.8582 0.0000 0.0000
0.0000 4.8582 0.0000
0.0000 0.0000 3.0032
Sr Ta Ni
1 2 1
direct
0.0000 0.0000 0.0000
0.0000 0.5000 0.5000
0.5000 0.0000 0.5000
0.5000 0.5000 0.0000
```

Space group: No. 123
DOS(E_F), states/eV per cell: 3.63
Magnetization, μB per atom: 0.000

Stability, highest: entry 1

Entry 1
Compound: Sr2TaNi
Source: Alexandria
Functional: SCAN
Structure: single point on PBEsol structure

Structure (POSCAR):
```
Sr2TaNi
1.0
5.5317 0.0000 0.0000
0.0000 5.5317 0.0000
0.0000 0.0000 3.1952
Sr Ta Ni
2 1 1
direct
0.0000 0.5000 0.0000
0.5000 0.0000 0.0000
0.0000 0.0000 0.5000
0.5000 0.5000 0.5000
```

Space group: No. 123
DOS(E_F), states/eV per cell: 3.65
Magnetization, μB per atom: 0.450

Entry 2
Compound: Sr2TaNi
Source: Alexandria
Functional: SCAN
Structure: single point on PBEsol structure

Structure (POSCAR):
```
Sr2TaNi
1.0
-2.1261 2.1261 5.0236
2.1261 -2.1261 5.0236
2.1261 2.1261 -5.0236
Sr Ta Ni
2 1 1
direct
0.2500 0.7500 0.5000
0.7500 0.2500 0.5000
0.0000 0.0000 0.0000
0.5000 0.5000 0.0000
```

Space group: No. 139
DOS(E_F), states/eV per cell: 6.08
Magnetization, μB per atom: 0.305

Stability, highest: entry 1

Entry 1
Compound: SrTc2Ni
Source: Alexandria
Functional: SCAN
Structure: single point on PBEsol structure

Structure (POSCAR):
```
SrTc2Ni
1.0
-1.5966 2.5756 4.3673
1.5966 -2.5756 4.3673
1.5966 2.5756 -4.3673
Sr Tc Ni
1 2 1
direct
0.0000 0.0000 0.0000
0.3037 0.8037 0.5000
0.5021 0.5021 0.0000
0.7127 0.2127 0.5000
```

Space group: No. 44
DOS(E_F), states/eV per cell: 2.39
Magnetization, μB per atom: 0.000

Entry 2
Compound: SrTc2Ni
Source: Alexandria
Functional: SCAN
Structure: single point on PBEsol structure

Structure (POSCAR):
```
SrTc2Ni
1.0
3.0835 0.0000 0.0000
0.0000 3.0835 0.0000
0.0000 0.0000 7.3567
Sr Tc Ni
1 2 1
direct
0.0000 0.0000 0.0000
0.0000 0.0000 0.5093
0.5000 0.5000 0.3370
0.5000 0.5000 0.6971
```

Space group: No. 99
DOS(E_F), states/eV per cell: 3.28
Magnetization, μB per atom: 0.265

Stability, highest: entry 2